PtPbSe: relaxed, PBE-GGA.

```
PtPbSe
1.0
4.326 0.000 0.000
-2.163 3.746 0.000
0.000 0.000 4.399
Pt Pb Se
1 1 1
Direct
0.000 0.000 0.000
0.333 0.667 0.612
0.667 0.333 0.092
```

## Properties
As for the space-group type: P3m1 (156). The uncorrected formation energy comes out at -268 meV/atom.